Material: Ca3V3Ni2O12
Method: DFT, GGA-PBEsol
State: optimized geometry

Geometry as extended XYZ:
```
80
Lattice="-6.133 6.133 6.133 6.133 -6.133 6.133 6.133 6.133 -6.133" Properties=species:S:1:pos:R:3 pbc="T T T"
Ca 3.066 1.533 0.000
Ca 6.133 3.066 -1.533
Ca 1.533 0.000 3.066
Ca 7.666 0.000 3.066
Ca 0.000 3.066 1.533
Ca 3.066 -1.533 6.133
Ca 3.066 7.666 0.000
Ca 6.133 3.066 4.600
Ca -1.533 6.133 3.066
Ca 4.600 6.133 3.066
Ca 0.000 3.066 7.666
Ca 3.066 4.600 6.133
V 9.199 1.533 0.000
V 6.133 -3.066 4.600
V 4.600 6.133 -3.066
V 4.600 0.000 3.066
V 3.066 4.600 0.000
V 6.133 3.066 1.533
V 0.000 3.066 4.600
V 3.066 1.533 6.133
V 1.533 6.133 3.066
V 1.533 0.000 9.199
V 0.000 9.199 1.533
V -3.066 4.600 6.133
Ni 0.000 0.000 0.000
Ni 3.066 3.066 -3.066
Ni 3.066 -3.066 3.066
Ni 6.133 0.000 0.000
Ni -3.066 3.066 3.066
Ni 0.000 6.133 0.000
Ni 0.000 0.000 6.133
Ni 3.066 3.066 3.066
O 1.884 -0.444 0.655
O 7.315 3.721 -3.511
O 8.017 0.444 0.655
O 7.315 -2.412 3.511
O 5.688 -0.655 1.884
O 9.643 -1.182 2.412
O 0.655 1.884 -0.444
O 8.544 2.622 -1.182
O 3.721 3.511 -1.182
O 5.478 1.884 0.444
O -0.444 0.655 1.884
O 3.511 -1.182 3.721
O 5.688 5.478 -1.884
O 3.511 1.182 2.412
O 3.721 -3.511 7.315
O 5.478 -1.884 5.688
O 2.412 3.511 1.182
O 6.788 4.249 0.444
O 3.511 7.315 -2.412
O 5.688 0.655 4.249
O 1.884 5.688 -0.655
O 7.315 2.412 2.622
O 1.182 2.412 3.511
O 1.884 0.444 5.478
O 4.249 5.688 0.655
O 4.950 3.721 2.622
O -1.182 3.721 3.511
O 4.249 0.444 6.788
O 0.444 5.478 1.884
O 2.622 -1.182 8.544
O -0.655 1.884 5.688
O 3.721 2.622 4.950
O 0.655 8.017 0.444
O 2.412 9.643 -1.182
O 2.622 4.950 3.721
O 0.444 0.655 8.017
O 2.622 7.315 2.412
O 6.577 5.478 4.249
O 0.655 4.249 5.688
O 2.412 2.622 7.315
O -2.412 3.511 7.315
O 5.478 4.249 6.577
O -3.511 7.315 3.721
O 0.444 6.788 4.249
O -1.182 8.544 2.622
O -1.884 5.688 5.478
O -1.182 2.412 9.643
O 4.249 6.577 5.478
```

Results
Total moment = 3.0 μB per formula unit
Mass density = 4.2 g cm⁻³
DFT total energy = -633.68 eV per cell


Material: CaNi2Os
Method: DFT, GGA-PBEsol
State: optimized geometry

Geometry as extended XYZ:
```
4
Lattice="4.119 -1.335 0.000 4.119 1.335 0.000 -0.686 0.000 5.639" Properties=species:S:1:pos:R:3 pbc="T T T"
Ca 0.000 0.000 0.000
Ni 1.520 0.000 3.795
Ni 6.031 0.000 1.843
Os 3.776 0.000 2.819
```

Results
Total moment = 0.0 μB per formula unit
Mass density = 9.3 g cm⁻³
Formation enthalpy at 0 K = 1.287 eV per formula unit
DFT total energy = -25.38 eV per cell
Distance to the lowest polymorph of the same formula = 0 meV/atom


Material: CaNi3Os
Method: DFT, GGA-PBEsol
State: optimized geometry

Geometry as extended XYZ:
```
5
Lattice="4.511 0.000 0.000 0.000 4.511 0.000 0.000 0.000 4.511" Properties=species:S:1:pos:R:3 pbc="T T T"
Ca 0.000 0.000 0.000
Ni 0.000 2.255 2.255
Ni 2.255 0.000 2.255
Ni 2.255 2.255 0.000
Os 2.255 2.255 2.255
```

Results
Total moment = 0.0 μB per formula unit
Mass density = 7.4 g cm⁻³
Formation enthalpy at 0 K = 3.716 eV per formula unit
DFT total energy = -29.11 eV per cell


> What is the DFT total energy in the first record?

-633.68 eV per cell


Please write out number 2 again, unchanged.
Material: CaNi2Os
Method: DFT, GGA-PBEsol
State: optimized geometry

Geometry as extended XYZ:
```
4
Lattice="4.119 -1.335 0.000 4.119 1.335 0.000 -0.686 0.000 5.639" Properties=species:S:1:pos:R:3 pbc="T T T"
Ca 0.000 0.000 0.000
Ni 1.520 0.000 3.795
Ni 6.031 0.000 1.843
Os 3.776 0.000 2.819
```

Results
Total moment = 0.0 μB per formula unit
Mass density = 9.3 g cm⁻³
Formation enthalpy at 0 K = 1.287 eV per formula unit
DFT total energy = -25.38 eV per cell
Distance to the lowest polymorph of the same formula = 0 meV/atom